# 1
Compound: Zn2GaRu2
Source: Alexandria via LeMat-Bulk
Functional: GGA-PBE
Structure: optimized geometry

Summary:
Its energy relative to the elements is -0.043 eV/atom. As for the symmetry: P4/mbm (127). Its excess energy over the best structure of this formula in the dataset is 0.0 meV per atom. The raw total energy is -4.868 eV per atom. The crystal system is tetragonal.

abc: 6.434 6.434 3.741
angles: 90.00 90.00 90.00
Atoms (fractional coordinates):
Ru 0.641 0.141 0.000
Zn 0.159 0.659 0.500
Zn 0.659 0.841 0.500
Zn 0.841 0.341 0.500
Ru 0.141 0.359 0.000
Ga 0.000 0.000 0.000
Zn 0.341 0.159 0.500
Ru 0.859 0.641 0.000
Ga 0.500 0.500 0.000
Ru 0.359 0.859 0.000

# 2
Compound: ZnGa3Ru
Source: Alexandria via LeMat-Bulk
Functional: GGA-PBE
Structure: optimized geometry

Summary:
Its energy relative to the elements is 0.035 eV/atom. As for the symmetry: Pm-3m (221). Its excess energy over the best structure of this formula in the dataset is 0.0 meV per atom. The raw total energy is -3.891 eV per atom. The crystal system is cubic.

abc: 4.811 4.811 4.811
angles: 90.00 90.00 90.00
Atoms (fractional coordinates):
Ru 0.000 0.000 0.000
Ga 0.000 0.000 0.500
Ga 0.000 0.500 0.000
Zn 0.500 0.500 0.500
Ga 0.500 0.000 0.000

# 3
Compound: ZnGa2Ru
Source: Alexandria via LeMat-Bulk
Functional: GGA-PBE
Structure: optimized geometry

Summary:
Its energy relative to the elements is -0.195 eV/atom. As for the symmetry: P4/mmm (123). The raw total energy is -4.346 eV per atom. The crystal system is tetragonal.

abc: 3.282 3.282 5.459
angles: 90.00 90.00 90.00
Atoms (fractional coordinates):
Ru 0.500 0.500 0.000
Ga 0.000 0.000 0.755
Ga 0.000 0.000 0.245
Zn 0.500 0.500 0.500

# 4
Compound: ZnGaRu
Source: Alexandria via LeMat-Bulk
Functional: GGA-PBE
Structure: optimized geometry

Summary:
Its energy relative to the elements is -0.050 eV/atom. As for the symmetry: C2/m (12). The raw total energy is -4.575 eV per atom. The crystal system is monoclinic.

abc: 2.864 7.154 6.547
angles: 134.21 102.63 90.00
Atoms (fractional coordinates):
Ru 0.878 0.732 0.757
Zn 0.373 0.043 0.746
Ga 0.628 0.573 0.256
Zn 0.627 0.957 0.254
Ru 0.122 0.268 0.243
Ga 0.372 0.427 0.744

# 5
Compound: ZnGa2Ru
Source: Alexandria via LeMat-Bulk
Functional: GGA-PBE
Structure: optimized geometry

Summary:
Its energy relative to the elements is 0.227 eV/atom. As for the symmetry: I-42d (122). The raw total energy is -3.924 eV per atom. The crystal system is tetragonal.

abc: 7.117 7.117 5.680
angles: 51.20 51.20 90.00
Atoms (fractional coordinates):
Zn 0.500 0.500 0.000
Ga 0.104 0.625 0.250
Ru 0.750 0.250 0.500
Ga 0.375 0.354 0.750
Ru 0.000 0.000 0.000
Zn 0.250 0.750 0.500
Ga 0.646 0.125 0.250
Ga 0.875 0.896 0.750

# 6
Compound: ZnGa2Ru2
Source: Alexandria via LeMat-Bulk
Functional: GGA-PBE
Structure: optimized geometry

Summary:
Its energy relative to the elements is -0.241 eV/atom. As for the symmetry: P4/mbm (127). Its excess energy over the best structure of this formula in the dataset is 0.0 meV per atom. The raw total energy is -5.417 eV per atom. The crystal system is tetragonal.

abc: 6.767 6.767 3.275
angles: 90.00 90.00 90.00
Atoms (fractional coordinates):
Ga 0.851 0.351 0.500
Ga 0.351 0.149 0.500
Ru 0.849 0.651 0.000
Ga 0.649 0.851 0.500
Ru 0.151 0.349 0.000
Ga 0.149 0.649 0.500
Ru 0.349 0.849 0.000
Zn 0.500 0.500 0.000
Zn 0.000 0.000 0.000
Ru 0.651 0.151 0.000

# 7
Compound: ZnGa4Ru2
Source: Alexandria via LeMat-Bulk
Functional: GGA-PBE
Structure: optimized geometry

Summary:
Its energy relative to the elements is 0.543 eV/atom. As for the symmetry: I4/mmm (139). The raw total energy is -4.019 eV per atom. The crystal system is tetragonal.

abc: 4.685 4.685 7.109
angles: 70.76 70.76 90.00
Atoms (fractional coordinates):
Ru 0.600 0.600 0.800
Ga 0.798 0.798 0.404
Zn 0.000 0.000 0.000
Ga 0.500 0.000 0.000
Ru 0.400 0.400 0.200
Ga 0.202 0.202 0.596
Ga 0.000 0.500 0.000

# 8
Compound: ZnGa2Ru
Source: Alexandria via LeMat-Bulk
Functional: GGA-PBE
Structure: optimized geometry

Summary:
Its energy relative to the elements is -0.047 eV/atom. As for the symmetry: R3m (160). The raw total energy is -4.198 eV per atom. The crystal system is trigonal.

abc: 2.959 2.959 8.436
angles: 79.90 79.90 60.00
Atoms (fractional coordinates):
Ru 0.666 0.666 0.001
Zn 0.501 0.501 0.498
Ga 0.255 0.255 0.234
Ga 0.078 0.078 0.767

# 9
Compound: ZnGaRu2
Source: Alexandria via LeMat-Bulk
Functional: GGA-PBE
Structure: optimized geometry

Summary:
Its energy relative to the elements is -0.095 eV/atom. As for the symmetry: P4/mmm (123). The raw total energy is -5.808 eV per atom. The crystal system is tetragonal.

abc: 3.014 4.289 4.289
angles: 90.00 90.00 90.00
Atoms (fractional coordinates):
Zn 0.500 0.000 0.000
Ru 0.000 0.000 0.500
Ga 0.500 0.500 0.500
Ru 0.000 0.500 0.000

# 10
Compound: ZnGa2Ru
Source: Alexandria via LeMat-Bulk
Functional: GGA-PBE
Structure: optimized geometry

Summary:
Its energy relative to the elements is -0.070 eV/atom. As for the symmetry: P4/mmm (123). The raw total energy is -4.221 eV per atom. The crystal system is tetragonal.

abc: 3.055 4.379 4.379
angles: 90.00 90.00 90.00
Atoms (fractional coordinates):
Ga 0.000 0.500 0.000
Ga 0.000 0.000 0.500
Ru 0.500 0.500 0.500
Zn 0.500 0.000 0.000

# 11
Compound: ZnGaRu
Source: Alexandria via LeMat-Bulk
Functional: GGA-PBE
Structure: optimized geometry

Summary:
Its energy relative to the elements is -0.169 eV/atom. As for the symmetry: Fdd2 (43). The raw total energy is -4.695 eV per atom. The crystal system is orthorhombic.

abc: 4.685 4.677 5.090
angles: 76.68 62.60 59.94
Atoms (fractional coordinates):
Zn 0.896 0.207 0.500
Ru 0.565 0.869 0.500
Zn 0.646 0.707 0.000
Ga 0.987 0.025 0.000
Ru 0.315 0.369 0.000
Ga 0.237 0.525 0.500

# 12
Compound: ZnGaRu
Source: Alexandria via LeMat-Bulk
Functional: GGA-PBE
Structure: optimized geometry

Summary:
Its energy relative to the elements is -0.083 eV/atom. As for the symmetry: P3m1 (156). The raw total energy is -4.609 eV per atom. The crystal system is trigonal.

abc: 2.871 4.147 4.147
angles: 120.00 90.00 90.00
Atoms (fractional coordinates):
Ru 0.691 0.667 0.333
Zn 0.247 0.333 0.667
Ga 0.062 0.000 0.000

# 13
Compound: ZnGa3Ru
Source: Alexandria via LeMat-Bulk
Functional: GGA-PBE
Structure: optimized geometry

Summary:
Its energy relative to the elements is 0.930 eV/atom. As for the symmetry: Pm-3m (221). Its excess energy over the best structure of this formula in the dataset is 895.0 meV per atom. The raw total energy is -2.996 eV per atom. The crystal system is cubic.

abc: 4.666 4.666 4.666
angles: 90.00 90.00 90.00
Atoms (fractional coordinates):
Ga 0.000 0.500 0.000
Ga 0.500 0.000 0.000
Zn 0.000 0.000 0.000
Ru 0.500 0.500 0.500
Ga 0.000 0.000 0.500